Entry 1:
Computed, not measured: crystalline Tc2MoHPd at its relaxed geometry at the PBE level of DFT.

The volume comes out at 12.3 Å³ per atom. The value obtained for the total energy is -0.5866 Ry/atom. The magnetization is 0.00 Bohr magnetons per cell.

The structure belongs to space group P4/mmm (No. 123); the cell edges are 3.988, 3.988 and 3.876 Å and the angles 90.00°, 90.00° and 90.00°. The distinct sites, in fractional coordinates, are Tc at (0.000, 0.500, 0.000), Mo at (0.000, 0.000, 0.500), H at (0.500, 0.500, 0.000) and Pd at (0.500, 0.500, 0.500).

=====

Entry 2:
Computed, not measured: crystalline CaHRhPb2 at its relaxed geometry at the PBE level of DFT.

The volume comes out at 24.6 Å³ per atom. The value obtained for the total energy is -0.2425 Ry/atom. The magnetization is 0.00 Bohr magnetons per cell.

The structure belongs to space group P4/mmm (No. 123); the cell edges are 5.814, 5.814 and 3.633 Å and the angles 90.00°, 90.00° and 90.00°. The distinct sites, in fractional coordinates, are Ca at (0.000, 0.000, 0.000), H at (0.000, 0.000, 0.500), Rh at (0.500, 0.500, 0.500) and Pb at (0.000, 0.500, 0.000).

=====

Entry 3:
Computed, not measured: crystalline CrSnPd2Rh at its relaxed geometry at the PBE level of DFT.

The volume comes out at 22.7 Å³ per atom. As for the energy of formation: 1.37 eV/atom. The value obtained for the total energy is -0.3605 Ry/atom. The magnetization is 0.32 Bohr magnetons per cell.

The structure belongs to space group P4/mmm (No. 123); the cell edges are 4.853, 4.853 and 4.826 Å and the angles 90.00°, 90.00° and 90.00°. The distinct sites, in fractional coordinates, are Cr at (0.000, 0.000, 0.000), Sn at (0.500, 0.500, 0.500), Pd at (0.000, 0.500, 0.500) and Rh at (0.500, 0.500, 0.000).

=====

Entry 4:
Computed, not measured: crystalline PrDy2Zn at its relaxed geometry at the PBE level of DFT.

The volume comes out at 27.6 Å³ per atom. For the energy above the most stable polymorph in this dataset, the calculation gives 0.134 eV/atom. As for the energy of formation: -0.03 eV/atom. The value obtained for the total energy is -0.2825 Ry/atom. The magnetization is 0.00 Bohr magnetons per cell.

The structure belongs to space group P4/mmm (No. 123); the cell edges are 4.791, 4.791 and 4.818 Å and the angles 90.00°, 90.00° and 90.00°. The distinct sites, in fractional coordinates, are Pr at (0.000, 0.000, 0.000), Dy at (0.000, 0.500, 0.500) and Zn at (0.500, 0.500, 0.000).

=====

Entry 5:
Computed, not measured: crystalline CePrAgSn at its relaxed geometry at the PBE level of DFT.

The volume comes out at 28.2 Å³ per atom. As for the energy of formation: -0.42 eV/atom. The value obtained for the total energy is -0.3537 Ry/atom. The magnetization is 7.90 Bohr magnetons per cell.

The structure belongs to space group F-43m (No. 216); the cell edges are 7.672, 7.672 and 7.672 Å and the angles 90.00°, 90.00° and 90.00°. The distinct sites, in fractional coordinates, are Ce at (0.000, 0.000, 0.000), Pr at (0.000, 0.000, 0.500), Ag at (0.250, 0.250, 0.750) and Sn at (0.250, 0.250, 0.250).

=====

Entry 6:
Computed, not measured: crystalline LaTm4Th at its relaxed geometry at the PBE level of DFT.

The volume comes out at 33.1 Å³ per atom. For the energy above the most stable polymorph in this dataset, the calculation gives 0.121 eV/atom. As for the energy of formation: 0.15 eV/atom. The value obtained for the total energy is -0.3593 Ry/atom. The magnetization is 0.00 Bohr magnetons per cell.

The structure belongs to space group C2/c (No. 15); the cell edges are 8.812, 14.571 and 6.553 Å and the angles 90.00°, 109.25° and 90.00°. The distinct sites, in fractional coordinates, are La at (0.000, 0.084, 0.250), Tm at (0.092, 0.308, 0.531), Tm at (0.206, 0.136, 0.879) and Th at (0.000, 0.498, 0.750).

=====

Entry 7:
Computed, not measured: crystalline Ag2BrCl at its relaxed geometry at the PBE level of DFT.

Its uncorrected formation energy is -0.198 eV per atom. The volume comes out at 21.6 Å³ per atom. For the energy above the most stable polymorph in this dataset, the calculation gives 0.191 eV/atom. The value obtained for the total energy is -0.1840 Ry/atom. The magnetization is 0.00 Bohr magnetons per cell.

The structure belongs to space group P4/mmm (No. 123); the cell edges are 4.954, 4.954 and 3.520 Å and the angles 90.00°, 90.00° and 90.00°. The distinct sites, in fractional coordinates, are Ag at (0.000, 0.500, 0.000), Br at (0.000, 0.000, 0.500) and Cl at (0.500, 0.500, 0.500).

=====

Entry 8:
Computed, not measured: crystalline Fe2SiW at its relaxed geometry at the PBE level of DFT.

Its uncorrected formation energy is -0.059 eV per atom. The volume comes out at 12.2 Å³ per atom. The value obtained for the total energy is -0.6530 Ry/atom. The magnetization is 0.00 Bohr magnetons per cell.

The structure belongs to space group Cmmm (No. 65); the cell edges are 5.442, 6.445 and 2.777 Å and the angles 90.00°, 90.00° and 90.00°. The distinct sites, in fractional coordinates, are Fe at (0.250, 0.250, 0.000), Si at (0.000, 0.000, 0.500) and W at (0.000, 0.500, 0.500).